(1)
Computed, not measured: LiPm2AgS4 after structural relaxation at the PBE level of DFT.

Cell: 6.613 4.083 7.077 Å, 90.00 111.23 90.00°
Space group P2/m (No. 10)
Unique sites:
Li: 0.000 0.000 0.000 x1
Pm: 0.500 0.000 0.500 x1
Pm: 0.500 0.500 0.000 x1
Ag: 0.000 0.500 0.500 x1
S: 0.249 0.000 0.752 x2
S: 0.249 0.500 0.245 x2

Formation energy without anion corrections = -1.5241 eV/atom
Final energy = -42.97 eV/f.u.
N(E_F) = 0.0000 states/eV/atom
Total magnetic moment = 0.00 μB/cell

(2)
Computed, not measured: Sm4Tl2Pb after structural relaxation at the PBE level of DFT.

Cell: 9.538 9.538 9.567 Å, 90.00 90.00 90.00°
Space group I-42d (No. 122)
Unique sites:
Sm: 0.072 0.177 0.303 x16
Tl: 0.123 0.250 0.625 x8
Pb: 0.000 0.000 0.000 x4

Energy of formation = -367 meV/atom
Final energy = -29.89 eV/f.u.
N(E_F) = 1.0005 states/eV/atom
Total magnetic moment = 0.00 μB/cell
Offset from the most stable computed form = 0 meV/atom